No. 1
First-principles (PBE) data for crystalline LuTiInGa at its relaxed geometry, as listed in Alexandria.

Lattice parameters (Å, degrees): 4.890 4.890 4.890 60.00 60.00 60.00
Each line ends with the local moment (μB).
Positions (direct):
Lu (0.750, 0.750, 0.750)  -0.07
Ti (0.250, 0.250, 0.250)  -0.91
Ga (0.500, 0.500, 0.500)  0.02
In (0.000, 0.000, 0.000)  0.02

Summary:
Calculated formation energy (eV per atom): -0.22

No. 2
First-principles (PBE) data for crystalline Eu2CuAs at its relaxed geometry, as listed in Alexandria.

Lattice parameters (Å, degrees): 5.189 5.189 5.189 60.00 60.00 60.00
Each line ends with the local moment (μB).
Positions (direct):
Eu (0.250, 0.250, 0.250)  6.84
Eu (0.750, 0.750, 0.750)  6.84
As (0.000, 0.000, 0.000)  -0.09
Cu (0.500, 0.500, 0.500)  -0.04

Summary:
Calculated formation energy (eV per atom): -0.66
E above lowest polymorph (kJ/mol of formula units): 0

No. 3
First-principles (PBE) data for crystalline RbNa2NF at its relaxed geometry, as listed in Alexandria.

Lattice parameters (Å, degrees): 4.436 5.314 4.436 90.00 90.00 90.00
Each line ends with the local moment (μB).
Positions (direct):
Na (0.000, 0.000, 0.500)  -0.01
Na (0.500, 0.000, 0.000)  -0.01
N (0.500, 0.500, 0.500)  0.73
Rb (0.000, 0.500, 0.000)  0.01
F (0.000, 0.000, 0.000)  -0.01

Summary:
Formation energy from raw total energies (meV per atom): -478

Short version: calculated density = 8.18 7.44 2.61 Mg/m³, in the order given.